Density functional theory data (PBE) for an optimized crystal structure of KMoPd.

The structure in POSCAR format:
```
KMoPd
1.0
0.0000 3.5168 3.5168
3.5168 0.0000 3.5168
3.5168 3.5168 0.0000
Pd K Mo
1 1 1
Direct
0.7500 0.7500 0.7500
0.0000 0.0000 0.0000
0.2500 0.2500 0.2500
```

Results
- magnetic moment (μB/f.u.) = 4.92
- energy above the lowest structure with this stoichiometry (meV per atom) = 533